(1)
A plane-wave DFT calculation with PBE was carried out for crystalline Rb3SeBr at its relaxed geometry.

abc: 9.128 10.422 10.422
angles: 71.36 91.77 91.77
Sites, in units of the cell vectors:
Rb (0.594, 0.799, 0.993)
Rb (0.906, 0.007, 0.201)
Rb (0.406, 0.201, 0.007)
Rb (0.094, 0.993, 0.799)
Rb (0.835, 0.381, 0.010)
Rb (0.665, 0.990, 0.619)
Rb (0.165, 0.619, 0.990)
Rb (0.335, 0.010, 0.381)
Rb (0.571, 0.592, 0.652)
Rb (0.929, 0.348, 0.408)
Rb (0.429, 0.408, 0.348)
Rb (0.071, 0.652, 0.592)
Se (0.850, 0.711, 0.811)
Se (0.650, 0.189, 0.289)
Se (0.150, 0.289, 0.189)
Se (0.350, 0.811, 0.711)
Br (0.250, 0.864, 0.136)
Br (0.750, 0.136, 0.864)
Br (0.250, 0.345, 0.655)
Br (0.750, 0.655, 0.345)

Properties
E above lowest polymorph: 0.00 eV per formula unit
Uncorrected energy: -57.4 eV per cell
Formation energy from raw total energies: -1258.7 meV/atom
Symmetry: No. 15

***

(2)
A plane-wave DFT calculation with PBE was carried out for crystalline Ho2ErGe2Rh5 at its relaxed geometry.

abc: 3.654 9.918 9.918
angles: 90.00 90.00 90.00
Sites, in units of the cell vectors:
Ho (0.000, 0.673, 0.173)
Ho (0.000, 0.327, 0.827)
Ho (0.000, 0.173, 0.327)
Ho (0.000, 0.827, 0.673)
Er (0.000, 0.000, 0.000)
Er (0.000, 0.500, 0.500)
Ge (0.000, 0.124, 0.624)
Ge (0.000, 0.876, 0.376)
Ge (0.000, 0.624, 0.876)
Ge (0.000, 0.376, 0.124)
Rh (0.500, 0.215, 0.070)
Rh (0.500, 0.785, 0.930)
Rh (0.500, 0.070, 0.785)
Rh (0.500, 0.715, 0.430)
Rh (0.500, 0.930, 0.215)
Rh (0.500, 0.285, 0.570)
Rh (0.500, 0.570, 0.715)
Rh (0.500, 0.430, 0.285)
Rh (0.500, 0.500, 0.000)
Rh (0.500, 0.000, 0.500)

Properties
Energy of formation from the pure elements: -8.80 eV/f.u.
Uncorrected energy: -137.0 eV per cell
Symmetry: No. 127